1.
# Li3InAu2 | Alexandria via LeMat-Bulk | GGA-PBE | optimized geometry
data_Li3InAu2
_chemical_formula_sum 'Li3 In1 Au2'
_space_group_name_H-M_alt 'P 1'
_space_group_IT_number 1
_cell_length_a 3.2703
_cell_length_b 3.2703
_cell_length_c 9.2622
_cell_angle_alpha 90.00
_cell_angle_beta 90.00
_cell_angle_gamma 90.00
loop_
_space_group_symop_operation_xyz
'x,y,z'
loop_
_atom_site_label
_atom_site_type_symbol
_atom_site_fract_x
_atom_site_fract_y
_atom_site_fract_z
Li1 Li 0.0000 0.0000 0.0000
Li2 Li 0.0000 0.0000 0.6919
Li3 Li 0.0000 0.0000 0.3081
In1 In 0.5000 0.5000 0.5000
Au1 Au 0.5000 0.5000 0.8389
Au2 Au 0.5000 0.5000 0.1611
# **V**: 99.1 Å³/f.u.
# **Density of states at the Fermi level**: 0.145 states/eV/atom
# **Crystal system**: tetragonal
# **E above lowest polymorph**: 0 meV/atom
# **Calculated total energy**: -2.9822 eV/atom
# **Space group**: No. 123

2.
# Li2In3Au2 | Alexandria via LeMat-Bulk | GGA-PBE | optimized geometry
data_Li2In3Au2
_chemical_formula_sum 'Li2 In3 Au2'
_space_group_name_H-M_alt 'P 1'
_space_group_IT_number 1
_cell_length_a 4.5507
_cell_length_b 4.6765
_cell_length_c 8.2600
_cell_angle_alpha 108.79
_cell_angle_beta 90.00
_cell_angle_gamma 119.11
loop_
_space_group_symop_operation_xyz
'x,y,z'
loop_
_atom_site_label
_atom_site_type_symbol
_atom_site_fract_x
_atom_site_fract_y
_atom_site_fract_z
Li1 Li 0.8817 0.7634 0.1525
Li2 Li 0.1183 0.2366 0.8475
In1 In 0.5000 0.0000 0.0000
In2 In 0.6276 0.2553 0.3980
In3 In 0.3724 0.7447 0.6020
Au1 Au 0.7660 0.5321 0.7828
Au2 Au 0.2340 0.4679 0.2172
# **V**: 142.8 Å³/f.u.
# **Density of states at the Fermi level**: 0.284 states/eV/atom
# **Crystal system**: monoclinic
# **Calculated total energy**: -2.9885 eV/atom
# **Space group**: No. 12

3.
# Li2In2Au | Alexandria via LeMat-Bulk | GGA-PBE | optimized geometry
data_Li2In2Au
_chemical_formula_sum 'Li2 In2 Au1'
_space_group_name_H-M_alt 'P 1'
_space_group_IT_number 1
_cell_length_a 4.7367
_cell_length_b 5.6803
_cell_length_c 4.6580
_cell_angle_alpha 90.17
_cell_angle_beta 59.84
_cell_angle_gamma 64.67
loop_
_space_group_symop_operation_xyz
'x,y,z'
loop_
_atom_site_label
_atom_site_type_symbol
_atom_site_fract_x
_atom_site_fract_y
_atom_site_fract_z
Li1 Li 0.6123 0.5790 0.1943
Li2 Li 0.3877 0.4210 0.8057
In1 In 0.7996 0.8013 0.5990
In2 In 0.2004 0.1987 0.4010
Au1 Au 0.0000 0.0000 0.0000
# **V**: 94.1 Å³/f.u.
# **Density of states at the Fermi level**: 0.184 states/eV/atom
# **Crystal system**: triclinic
# **Calculated total energy**: -2.8830 eV/atom
# **Space group**: No. 2

4.
# LiIn2Au4 | Alexandria via LeMat-Bulk | GGA-PBE | optimized geometry
data_LiIn2Au4
_chemical_formula_sum 'Li4 In8 Au16'
_space_group_name_H-M_alt 'P 1'
_space_group_IT_number 1
_cell_length_a 4.3630
_cell_length_b 8.4465
_cell_length_c 15.0320
_cell_angle_alpha 90.00
_cell_angle_beta 90.00
_cell_angle_gamma 90.00
loop_
_space_group_symop_operation_xyz
'x,y,z'
loop_
_atom_site_label
_atom_site_type_symbol
_atom_site_fract_x
_atom_site_fract_y
_atom_site_fract_z
Li1 Li 0.7500 0.1572 0.3834
Li2 Li 0.2500 0.8428 0.6166
Li3 Li 0.7500 0.6572 0.1166
Li4 Li 0.2500 0.3428 0.8834
In1 In 0.2500 0.3749 0.1240
In2 In 0.7500 0.1251 0.6240
In3 In 0.2500 0.8749 0.3760
In4 In 0.7500 0.6251 0.8760
In5 In 0.7500 0.5772 0.4217
In6 In 0.2500 0.4228 0.5783
In7 In 0.7500 0.0772 0.0783
In8 In 0.2500 0.9228 0.9217
Au1 Au 0.2500 0.8799 0.1187
Au2 Au 0.7500 0.1201 0.8813
Au3 Au 0.2500 0.3799 0.3813
Au4 Au 0.7500 0.6201 0.6187
Au5 Au 0.2500 0.1125 0.7489
Au6 Au 0.7500 0.8875 0.2511
Au7 Au 0.2500 0.6125 0.7511
Au8 Au 0.7500 0.3875 0.2489
Au9 Au 0.2500 0.6210 0.9968
Au10 Au 0.7500 0.3790 0.0032
Au11 Au 0.2500 0.1210 0.5032
Au12 Au 0.7500 0.8790 0.4968
Au13 Au 0.7500 0.8685 0.7485
Au14 Au 0.2500 0.1315 0.2515
Au15 Au 0.2500 0.6315 0.2485
Au16 Au 0.7500 0.3685 0.7515
# **V**: 138.5 Å³/f.u.
# **Density of states at the Fermi level**: 0.172 states/eV/atom
# **Crystal system**: orthorhombic
# **E above lowest polymorph**: 0 meV/atom
# **Calculated total energy**: -3.2047 eV/atom
# **Space group**: No. 62

5.
# Li8InAu2 | Alexandria via LeMat-Bulk | GGA-PBE | optimized geometry
data_Li8InAu2
_chemical_formula_sum 'Li8 In1 Au2'
_space_group_name_H-M_alt 'P 1'
_space_group_IT_number 1
_cell_length_a 4.7543
_cell_length_b 7.8439
_cell_length_c 7.0586
_cell_angle_alpha 56.25
_cell_angle_beta 80.92
_cell_angle_gamma 73.49
loop_
_space_group_symop_operation_xyz
'x,y,z'
loop_
_atom_site_label
_atom_site_type_symbol
_atom_site_fract_x
_atom_site_fract_y
_atom_site_fract_z
Li1 Li 0.9138 0.0645 0.2480
Li2 Li 0.9138 0.3125 0.7520
Li3 Li 0.3237 0.3773 0.0000
Li4 Li 0.5000 0.7598 0.4804
Li5 Li 0.5000 0.2402 0.5196
Li6 Li 0.6763 0.6227 0.0000
Li7 Li 0.0862 0.6875 0.2480
Li8 Li 0.0862 0.9355 0.7520
In1 In 0.5000 0.0000 0.0000
Au1 Au 0.0000 0.3218 0.3565
Au2 Au 0.0000 0.6782 0.6435
# **V**: 209.8 Å³/f.u.
# **Density of states at the Fermi level**: 0.301 states/eV/atom
# **Crystal system**: monoclinic
# **E above lowest polymorph**: 48 meV/atom
# **Calculated total energy**: -2.5225 eV/atom
# **Space group**: No. 12

6.
# Li2InAu | Alexandria via LeMat-Bulk | GGA-PBE | optimized geometry
data_Li2InAu
_chemical_formula_sum 'Li2 In1 Au1'
_space_group_name_H-M_alt 'P 1'
_space_group_IT_number 1
_cell_length_a 3.3397
_cell_length_b 3.3397
_cell_length_c 6.4318
_cell_angle_alpha 90.00
_cell_angle_beta 90.00
_cell_angle_gamma 90.00
loop_
_space_group_symop_operation_xyz
'x,y,z'
loop_
_atom_site_label
_atom_site_type_symbol
_atom_site_fract_x
_atom_site_fract_y
_atom_site_fract_z
Au1 Au 0.0000 0.0000 0.4612
In1 In 0.5000 0.5000 0.7508
Li1 Li 0.0000 0.0000 0.0202
Li2 Li 0.5000 0.5000 0.2678
# **V**: 71.7 Å³/f.u.
# **Density of states at the Fermi level**: 0.222 states/eV/atom
# **Crystal system**: tetragonal
# **Calculated total energy**: -2.8051 eV/atom
# **Space group**: No. 99

7.
# Li3In2Au4 | Alexandria via LeMat-Bulk | GGA-PBE | optimized geometry
data_Li3In2Au4
_chemical_formula_sum 'Li3 In2 Au4'
_space_group_name_H-M_alt 'P 1'
_space_group_IT_number 1
_cell_length_a 4.5481
_cell_length_b 5.7634
_cell_length_c 8.7523
_cell_angle_alpha 124.81
_cell_angle_beta 90.00
_cell_angle_gamma 113.24
loop_
_space_group_symop_operation_xyz
'x,y,z'
loop_
_atom_site_label
_atom_site_type_symbol
_atom_site_fract_x
_atom_site_fract_y
_atom_site_fract_z
Li1 Li 0.6546 0.3092 0.6896
Li2 Li 0.0000 0.0000 0.0000
Li3 Li 0.3454 0.6908 0.3104
In1 In 0.6521 0.3043 0.3182
In2 In 0.3479 0.6957 0.6818
Au1 Au 0.6852 0.3704 0.0293
Au2 Au 0.3148 0.6296 0.9707
Au3 Au 0.9804 0.9609 0.6466
Au4 Au 0.0196 0.0391 0.3534
# **V**: 165.2 Å³/f.u.
# **Density of states at the Fermi level**: 0.338 states/eV/atom
# **Crystal system**: monoclinic
# **E above lowest polymorph**: 33 meV/atom
# **Calculated total energy**: -3.1093 eV/atom
# **Space group**: No. 12

8.
# Li2InAu | Alexandria via LeMat-Bulk | GGA-PBE | optimized geometry
data_Li2InAu
_chemical_formula_sum 'Li2 In1 Au1'
_space_group_name_H-M_alt 'P 1'
_space_group_IT_number 1
_cell_length_a 3.2045
_cell_length_b 3.2045
_cell_length_c 8.7385
_cell_angle_alpha 79.43
_cell_angle_beta 79.43
_cell_angle_gamma 60.00
loop_
_space_group_symop_operation_xyz
'x,y,z'
loop_
_atom_site_label
_atom_site_type_symbol
_atom_site_fract_x
_atom_site_fract_y
_atom_site_fract_z
Li1 Li 0.0747 0.0747 0.7758
Li2 Li 0.2586 0.2586 0.2243
In1 In 0.5005 0.5005 0.4986
Au1 Au 0.6662 0.6662 0.0013
# **V**: 76.0 Å³/f.u.
# **Density of states at the Fermi level**: 0.486 states/eV/atom
# **Crystal system**: trigonal
# **Calculated total energy**: -2.7178 eV/atom
# **Space group**: No. 160

9.
# Li6In5Au | Alexandria via LeMat-Bulk | GGA-PBE | optimized geometry
data_Li6In5Au
_chemical_formula_sum 'Li6 In5 Au1'
_space_group_name_H-M_alt 'P 1'
_space_group_IT_number 1
_cell_length_a 4.7967
_cell_length_b 6.4303
_cell_length_c 8.1873
_cell_angle_alpha 66.86
_cell_angle_beta 74.95
_cell_angle_gamma 90.00
loop_
_space_group_symop_operation_xyz
'x,y,z'
loop_
_atom_site_label
_atom_site_type_symbol
_atom_site_fract_x
_atom_site_fract_y
_atom_site_fract_z
In1 In 0.6847 0.1720 0.6562
In2 In 0.3259 0.3336 0.3329
In3 In 0.0000 0.5000 0.0000
In4 In 0.6741 0.6664 0.6671
In5 In 0.3153 0.8280 0.3438
Au1 Au 0.0000 0.0000 0.0000
Li1 Li 0.8291 0.6021 0.3169
Li2 Li 0.8291 0.0811 0.3171
Li3 Li 0.5000 0.7689 0.9998
Li4 Li 0.5000 0.2311 0.0002
Li5 Li 0.1709 0.9189 0.6829
Li6 Li 0.1709 0.3979 0.6831
# **V**: 222.8 Å³/f.u.
# **Density of states at the Fermi level**: 0.312 states/eV/atom
# **Crystal system**: monoclinic
# **Calculated total energy**: -2.6998 eV/atom
# **Space group**: No. 12

10.
# LiIn3Au4 | Alexandria via LeMat-Bulk | GGA-PBE | optimized geometry
data_LiIn3Au4
_chemical_formula_sum 'Li1 In3 Au4'
_space_group_name_H-M_alt 'P 1'
_space_group_IT_number 1
_cell_length_a 4.5529
_cell_length_b 5.3249
_cell_length_c 7.2519
_cell_angle_alpha 101.65
_cell_angle_beta 108.30
_cell_angle_gamma 90.00
loop_
_space_group_symop_operation_xyz
'x,y,z'
loop_
_atom_site_label
_atom_site_type_symbol
_atom_site_fract_x
_atom_site_fract_y
_atom_site_fract_z
In1 In 0.0000 0.5000 0.0000
In2 In 0.7248 0.2491 0.4497
In3 In 0.2752 0.7509 0.5503
Au1 Au 0.3641 0.3219 0.7281
Au2 Au 0.6359 0.6781 0.2719
Au3 Au 0.1073 0.0328 0.2146
Au4 Au 0.8927 0.9672 0.7854
Li1 Li 0.5000 0.0000 0.0000
# **V**: 163.1 Å³/f.u.
# **Density of states at the Fermi level**: 0.250 states/eV/atom
# **Crystal system**: monoclinic
# **Calculated total energy**: -3.1660 eV/atom
# **Space group**: No. 12

11.
# Li2InAu2 | Alexandria via LeMat-Bulk | GGA-PBE | optimized geometry
data_Li2InAu2
_chemical_formula_sum 'Li2 In1 Au2'
_space_group_name_H-M_alt 'P 1'
_space_group_IT_number 1
_cell_length_a 4.5786
_cell_length_b 4.5786
_cell_length_c 5.5592
_cell_angle_alpha 65.68
_cell_angle_beta 65.68
_cell_angle_gamma 60.00
loop_
_space_group_symop_operation_xyz
'x,y,z'
loop_
_atom_site_label
_atom_site_type_symbol
_atom_site_fract_x
_atom_site_fract_y
_atom_site_fract_z
Li1 Li 0.2093 0.7093 0.3722
Li2 Li 0.7907 0.2907 0.6278
In1 In 0.0000 0.5000 0.0000
Au1 Au 0.5942 0.0942 0.2174
Au2 Au 0.4058 0.9058 0.7826
# **V**: 88.8 Å³/f.u.
# **Density of states at the Fermi level**: 0.296 states/eV/atom
# **Crystal system**: trigonal
# **E above lowest polymorph**: 3 meV/atom
# **Calculated total energy**: -3.0712 eV/atom
# **Space group**: No. 166

12.
# LiInAu3 | Alexandria via LeMat-Bulk | GGA-PBE | optimized geometry
data_LiInAu3
_chemical_formula_sum 'Li1 In1 Au3'
_space_group_name_H-M_alt 'P 1'
_space_group_IT_number 1
_cell_length_a 4.6217
_cell_length_b 4.6217
_cell_length_c 4.6217
_cell_angle_alpha 90.00
_cell_angle_beta 90.00
_cell_angle_gamma 90.00
loop_
_space_group_symop_operation_xyz
'x,y,z'
loop_
_atom_site_label
_atom_site_type_symbol
_atom_site_fract_x
_atom_site_fract_y
_atom_site_fract_z
Li1 Li 0.0000 0.0000 0.0000
Au1 Au 0.0000 0.5000 0.0000
Au2 Au 0.0000 0.0000 0.5000
Au3 Au 0.5000 0.0000 0.0000
In1 In 0.5000 0.5000 0.5000
# **V**: 98.7 Å³/f.u.
# **Density of states at the Fermi level**: 0.414 states/eV/atom
# **Crystal system**: cubic
# **E above lowest polymorph**: 463 meV/atom
# **Calculated total energy**: -2.7779 eV/atom
# **Space group**: No. 221